# LuMg | OQMD via LeMat-Bulk | PBE | optimized geometry
data_LuMg
_chemical_formula_sum 'Lu2 Mg2'
_symmetry_space_group_name_H-M 'P 1'
_symmetry_Int_Tables_number 1
_cell_length_a 3.509
_cell_length_b 5.379
_cell_length_c 5.680
_cell_angle_alpha 90.00
_cell_angle_beta 90.00
_cell_angle_gamma 90.00
loop_
_symmetry_equiv_pos_as_xyz
'x,y,z'
loop_
_atom_site_label
_atom_site_fract_x
_atom_site_fract_y
_atom_site_fract_z
Lu1 0.250 0.250 0.085
Lu2 0.750 0.750 0.915
Mg1 0.250 0.750 0.415
Mg2 0.750 0.250 0.585
# - mass density (Mg/m³) = 6.17
# - calculated total energy (eV/atom) = -2.993

# LuMgNO | OQMD via LeMat-Bulk | PBE | optimized geometry
data_LuMgNO
_chemical_formula_sum 'Lu4 Mg4 N4 O4'
_symmetry_space_group_name_H-M 'P 1'
_symmetry_Int_Tables_number 1
_cell_length_a 5.941
_cell_length_b 7.541
_cell_length_c 4.745
_cell_angle_alpha 90.00
_cell_angle_beta 90.00
_cell_angle_gamma 90.00
loop_
_symmetry_equiv_pos_as_xyz
'x,y,z'
loop_
_atom_site_label
_atom_site_fract_x
_atom_site_fract_y
_atom_site_fract_z
Lu1 0.063 0.139 0.000
Lu2 0.437 0.139 0.500
Lu3 0.563 0.861 0.000
Lu4 0.937 0.861 0.500
Mg1 0.081 0.614 0.976
Mg2 0.419 0.614 0.476
Mg3 0.581 0.386 0.976
Mg4 0.919 0.386 0.476
N1 0.067 0.138 0.511
N2 0.433 0.138 0.011
N3 0.567 0.862 0.511
N4 0.933 0.862 0.011
O1 0.093 0.604 0.543
O2 0.407 0.604 0.043
O3 0.593 0.396 0.543
O4 0.907 0.396 0.043
# - mass density (Mg/m³) = 7.16
# - calculated total energy (eV/atom) = -7.021
# - distance to the lowest polymorph of the same formula (kJ/mol of formula units) = 8

# LuMgNO | OQMD via LeMat-Bulk | PBE | optimized geometry
data_LuMgNO
_chemical_formula_sum 'Lu2 Mg2 N2 O2'
_symmetry_space_group_name_H-M 'P 1'
_symmetry_Int_Tables_number 1
_cell_length_a 3.699
_cell_length_b 3.699
_cell_length_c 7.601
_cell_angle_alpha 90.00
_cell_angle_beta 90.00
_cell_angle_gamma 90.00
loop_
_symmetry_equiv_pos_as_xyz
'x,y,z'
loop_
_atom_site_label
_atom_site_fract_x
_atom_site_fract_y
_atom_site_fract_z
Lu1 0.250 0.250 0.143
Lu2 0.750 0.750 0.857
Mg1 0.250 0.750 0.500
Mg2 0.750 0.250 0.500
N1 0.250 0.250 0.633
N2 0.750 0.750 0.367
O1 0.250 0.750 0.000
O2 0.750 0.250 0.000
# - mass density (Mg/m³) = 7.32
# - calculated total energy (eV/atom) = -6.655
# - distance to the lowest polymorph of the same formula (kJ/mol of formula units) = 149

# LuMgNO | OQMD via LeMat-Bulk | PBE | optimized geometry
data_LuMgNO
_chemical_formula_sum 'Lu1 Mg1 N1 O1'
_symmetry_space_group_name_H-M 'P 1'
_symmetry_Int_Tables_number 1
_cell_length_a 3.250
_cell_length_b 3.250
_cell_length_c 4.440
_cell_angle_alpha 90.00
_cell_angle_beta 90.00
_cell_angle_gamma 90.00
loop_
_symmetry_equiv_pos_as_xyz
'x,y,z'
loop_
_atom_site_label
_atom_site_fract_x
_atom_site_fract_y
_atom_site_fract_z
Lu1 0.000 0.000 0.000
Mg1 0.500 0.500 0.500
N1 0.500 0.500 0.000
O1 0.000 0.000 0.500
# - mass density (Mg/m³) = 8.12
# - calculated total energy (eV/atom) = -7.041
# - distance to the lowest polymorph of the same formula (kJ/mol of formula units) = 0

Look up the mass density of the second one. 7.16 Mg/m³